A plane-wave DFT calculation with GGA-PBE was carried out for a relaxed structure of Tb2CeS3.

Computed properties:
E: -39.7 eV for the cell shown
SG: No. 71
Calculated volume: 131.7 Å³/cell
Spin magnetization: 0.797 μB/f.u.

Cell lengths 6.8695, 6.8695, 6.8695 Å; angles 146.63, 131.81, 59.88 degrees
Last column: nearest neighbours and their distance in Å.
Atoms (fractional coordinates):
Tb 0.1659 0.1659 0.0000  6 S 2.77-2.81
Tb 0.8341 0.8341 0.0000  6 S 2.77-2.81
Ce 0.5000 0.5000 0.0000  6 S 2.80-2.84
S 0.0000 0.5000 0.5000  4 Tb 2.79, 2 Ce 2.80
S 0.3288 0.8288 0.5000  4 Tb 2.77-2.81, 2 Ce 2.84
S 0.6712 0.1712 0.5000  4 Tb 2.77-2.81, 2 Ce 2.84